Ti3Al2Tc4 | GGA-PBE | optimized geometry

The structure in POSCAR format:
```
Ti3Al2Tc4
1.0
-3.187 -1.500 2.633
-3.544 -1.949 -1.728
3.735 -7.177 0.433
Ti Al Tc
3 2 4
Cartesian
-0.700 -4.116 0.481
0.000 0.000 0.000
-2.297 -6.509 0.857
0.679 -6.767 0.640
-3.676 -3.859 0.698
-1.146 -8.720 0.990
-2.240 -4.455 -1.576
-0.757 -6.171 2.914
-1.850 -1.906 0.347
```

Values from the calculation:
total magnetization = 0.000 μB per cell
DOS(E_F) = 5.80 states/eV/cell
formation enthalpy at 0 K = -4.14 eV/f.u.
symmetry = P-3m1

---

Tl14InGa | GGA-PBE | optimized geometry

The structure in POSCAR format:
```
Tl14InGa
1.0
6.986 -0.423 0.000
-3.128 6.261 0.000
0.000 0.000 11.278
Tl In Ga
14 1 1
Cartesian
-1.029 4.874 0.000
4.030 1.531 0.000
-1.063 2.801 5.639
0.585 1.716 0.000
0.865 5.718 5.639
2.509 4.627 0.000
2.205 0.665 8.299
2.205 0.665 2.979
4.111 3.549 8.299
4.111 3.549 2.979
0.651 3.764 8.439
0.651 3.764 2.840
5.709 0.421 8.470
5.709 0.421 2.808
-2.702 5.980 5.639
2.322 2.659 5.639
```

Values from the calculation:
total magnetization = 0.000 μB per cell
DOS(E_F) = 7.26 states/eV/cell
formation enthalpy at 0 K = 0.48 eV/f.u.
symmetry = Amm2

---

Number 1 is which compound? Ti3Al2Tc4